Record 1
An optimized crystal structure of Ce3PtN3, computed with GGA-PBE.

Output
Calculated volume: 19.9 A^3/atom
Total energy: -345.4 eV for the cell shown

a = 6.7953 Å, b = 6.7953 Å, c = 20.8834 Å
α = 90.00°, β = 90.00°, γ = 120.00°
With the nearest neighbours (Å) after each atom.
Space group R-3 (No. 148, hexagonal axes)
Asymmetric unit:
Ce 0.0048 0.6554 0.4006 x18  4 N 2.29-2.35
Pt 0.0000 0.0000 0.1674 x6  6 Ce 3.01-3.07
N 0.0095 0.6891 0.6238 x18  4 Ce 2.29-2.35

***

Record 2
An optimized crystal structure of Ce6Pt2N, computed with GGA-PBE.

Output
Calculated volume: 23.2 A^3/atom
Total energy: -125.3 eV for the cell shown

a = 6.4878 Å, b = 8.0769 Å, c = 9.4325 Å
α = 90.00°, β = 122.37°, γ = 90.00°
With the nearest neighbours (Å) after each atom.
Space group P2_1/c (No. 14)
Asymmetric unit:
Ce 0.1610 0.1613 0.4744 x4  1 N 2.45
Ce 0.3107 0.7262 0.4707 x4  1 N 2.47
Ce 0.3149 0.0302 0.1860 x4  1 N 2.54
Pt 0.1605 0.0805 0.7779 x4  5 Ce 2.79-3.10
N 0.5000 0.0000 0.5000 x2  6 Ce 2.45-2.54

***

Record 3
An optimized crystal structure of Ce6Pt2N, computed with GGA-PBE.

Output
Calculated volume: 22.3 A^3/atom
Total energy: -123.8 eV for the cell shown

a = 3.4773 Å, b = 14.0221 Å, c = 8.2246 Å
α = 90.00°, β = 90.00°, γ = 90.00°
With the nearest neighbours (Å) after each atom.
Space group Amm2 (No. 38)
Asymmetric unit:
Ce 0.0000 0.0000 0.0000 x2  2 N 2.41
Ce 0.0000 0.0979 0.6173 x4  2 N 2.66, 1 Ce 2.75
Ce 0.5000 0.0000 0.2817 x2  2 Ce 2.90, 4 Pt 3.17
Ce 0.5000 0.1953 0.9431 x4  4 Pt 2.92-2.99, 1 N 2.99
Pt 0.0000 0.1877 0.2392 x4  7 Ce 2.92-3.17
N 0.5000 0.0000 0.7969 x2  6 Ce 2.41-2.66

***

Record 4
An optimized crystal structure of Ce3PtN, computed with GGA-PBE.

Output
Calculated volume: 21.9 A^3/atom
Total energy: -36.4 eV for the cell shown

a = 4.7852 Å, b = 4.7852 Å, c = 4.7852 Å
α = 90.00°, β = 90.00°, γ = 90.00°
With the nearest neighbours (Å) after each atom.
Space group Pm-3m (No. 221)
Asymmetric unit:
Ce 0.0000 0.0000 0.5000 x3  2 N 2.39
Pt 0.5000 0.5000 0.5000 x1  12 Ce 3.38
N 0.0000 0.0000 0.0000 x1  6 Ce 2.39

***

Record 5
An optimized crystal structure of Ce4PtN, computed with GGA-PBE.

Output
Calculated volume: 21.9 A^3/atom
Total energy: -85.0 eV for the cell shown

a = 5.9585 Å, b = 6.8516 Å, c = 7.2755 Å
α = 72.36°, β = 68.56°, γ = 87.11°
With the nearest neighbours (Å) after each atom.
Space group P-1 (No. 2)
Asymmetric unit:
Ce 0.0019 0.4709 0.3214 x2  1 N 2.29
Ce 0.1775 0.9684 0.3251 x2  1 N 2.40
Ce 0.2149 0.8691 0.8663 x2  2 N 2.55-2.63
Ce 0.3947 0.3564 0.8546 x2  2 N 2.49-2.50
Pt 0.4061 0.2411 0.4767 x2  7 Ce 2.96-3.26
N 0.0000 0.5000 0.0000 x1  4 Ce 2.29-2.49
N 0.5000 0.0000 0.0000 x1  6 Ce 2.40-2.55

***

Record 6
An optimized crystal structure of Ce5Pt4N, computed with GGA-PBE.

Output
Calculated volume: 23.3 A^3/atom
Total energy: -144.9 eV for the cell shown

a = 8.9888 Å, b = 8.9888 Å, c = 5.7740 Å
α = 90.00°, β = 90.00°, γ = 90.00°
With the nearest neighbours (Å) after each atom.
Space group I4 (No. 79)
Asymmetric unit:
Ce 0.0000 0.0000 0.0000 x2  1 N 2.40
Ce 0.1013 0.7362 0.5334 x8  1 N 2.56
Pt 0.0860 0.6882 0.0332 x8  6 Ce 2.89-3.00
N 0.0000 0.0000 0.5837 x2  5 Ce 2.40-2.56

***

What did the fourth record say?
An optimized crystal structure of Ce3PtN, computed with GGA-PBE.

Output
Calculated volume: 21.9 A^3/atom
Total energy: -36.4 eV for the cell shown

a = 4.7852 Å, b = 4.7852 Å, c = 4.7852 Å
α = 90.00°, β = 90.00°, γ = 90.00°
With the nearest neighbours (Å) after each atom.
Space group Pm-3m (No. 221)
Asymmetric unit:
Ce 0.0000 0.0000 0.5000 x3  2 N 2.39
Pt 0.5000 0.5000 0.5000 x1  12 Ce 3.38
N 0.0000 0.0000 0.0000 x1  6 Ce 2.39

***

Which of these has the lowest calculated volume? Ce3PtN3